1.
Compound: AcSmOsPd
Source: Alexandria
Functional: PBE
Structure: relaxed

* formation energy: -0.274 eV per atom
* mass density: 11.71 g/cm³

Lattice parameters (Å, degrees): 5.133 5.133 5.133 60.00 60.00 60.00
Fractional coordinates of all 4 atoms:
Os 0.500 0.500 0.500
Pd 0.000 0.000 0.000
Ac 0.750 0.750 0.750
Sm 0.250 0.250 0.250

***

2.
Compound: AcTmOsPd
Source: Alexandria
Functional: PBE
Structure: relaxed

* formation energy: -0.328 eV per atom
* mass density: 12.59 g/cm³

Lattice parameters (Å, degrees): 5.055 5.055 5.055 60.00 60.00 60.00
Fractional coordinates of all 4 atoms:
Tm 0.000 0.000 0.000
Ac 0.500 0.500 0.500
Pd 0.750 0.750 0.750
Os 0.250 0.250 0.250

***

3.
Compound: Ac2PmOs
Source: Alexandria
Functional: PBE
Structure: relaxed

* formation energy: -0.112 eV per atom
* mass density: 8.48 g/cm³
* E above lowest polymorph: 0 meV/atom

Lattice parameters (Å, degrees): 4.406 5.618 7.190 112.98 107.81 90.00
Fractional coordinates of all 4 atoms:
Os 0.500 0.012 0.000
Pm 0.500 0.510 0.000
Ac 0.157 0.165 0.315
Ac 0.843 0.850 0.685

***

4.
Compound: AcPm5Os2
Source: Alexandria
Functional: PBE
Structure: relaxed

* formation energy: 0.052 eV per atom
* mass density: 9.15 g/cm³

Lattice parameters (Å, degrees): 4.804 7.641 7.641 68.84 71.68 71.68
Fractional coordinates of all 8 atoms:
Pm 0.338 0.855 0.470
Ac 0.000 0.000 0.000
Pm 0.000 0.500 0.500
Pm 0.662 0.145 0.530
Os 0.255 0.245 0.245
Os 0.745 0.755 0.755
Pm 0.662 0.530 0.145
Pm 0.338 0.470 0.855

***

5.
Compound: AcPmOs
Source: Alexandria
Functional: PBE
Structure: relaxed

* formation energy: -0.027 eV per atom
* mass density: 10.31 g/cm³
* E above lowest polymorph: 0 meV/atom

Lattice parameters (Å, degrees): 5.041 5.041 5.041 60.00 60.00 60.00
Fractional coordinates of all 3 atoms:
Ac 0.500 0.500 0.500
Os 0.250 0.250 0.250
Pm 0.000 0.000 0.000

***

6.
Compound: AcPmOs
Source: Alexandria
Functional: PBE
Structure: relaxed

* formation energy: 0.055 eV per atom
* mass density: 10.17 g/cm³
* E above lowest polymorph: 82 meV/atom

Lattice parameters (Å, degrees): 3.591 3.591 7.558 103.74 103.74 90.00
Fractional coordinates of all 3 atoms:
Ac 0.042 0.042 0.084
Os 0.672 0.672 0.345
Pm 0.286 0.286 0.572

***

> Number 5 is which compound?

AcPmOs

***

> formation energy of number 1 (AcSmOsPd)?

-0.274 eV per atom

***

> What is the mass density in the third record?

8.48 g/cm³